The following is a DFT calculation (PBE) of a relaxed CsGdBr3 crystal.

Summary:
Total energy in eV per atom: -3.7308
Crystal system: orthorhombic

abc: 8.074 11.378 8.004
angles: 90.00 90.00 90.00
Space group Pnma (No. 62)
Asymmetric unit:
Cs 0.010 0.250 0.005 x4
Gd 0.000 0.000 0.500 x4
Br 0.002 0.250 0.504 x4
Br 0.242 0.502 0.759 x8